(1)
Below is a geometry-optimized Ac2UPb structure, with properties calculated at the PBE level.

Results
calculated volume	35.42	A^3/atom
energy of formation	0.52	eV/atom
uncorrected energy	-63.3	eV/cell

abc: 3.5758 3.5758 38.3874
angles: 90.00 90.00 120.00
Space group R-3m (No. 166, hexagonal axes)
One atom of each set of equivalent atoms:
1 Ac 0.0000 0.0000 0.0897
2 U 0.0000 0.0000 0.0000
3 Pb 0.0000 0.0000 0.5000



(2)
Below is a geometry-optimized Ho5Hg2Pd structure, with properties calculated at the PBE level.

Results
calculated volume	26.16	A^3/atom
energy of formation	-0.47	eV/atom
uncorrected energy	-64.8	eV/cell

abc: 6.906 12.257 4.944
angles: 90.00 90.00 90.00
Space group Pbam (No. 55)
One atom of each set of equivalent atoms:
1 Ho 0.000 0.000 0.000
2 Ho 0.139 0.287 0.000
3 Ho 0.174 0.592 0.500
4 Hg 0.096 0.842 0.500
5 Pd 0.000 0.500 0.000



(3)
Below is a geometry-optimized CoPd12Au3 structure, with properties calculated at the PBE level.

Results
calculated volume	15.62	A^3/atom
energy of formation	-0.02	eV/atom
uncorrected energy	-79.6	eV/cell

abc: 3.973 3.973 15.842
angles: 90.00 90.00 90.00
Space group P4/mmm (No. 123)
One atom of each set of equivalent atoms:
1 Co 0.000 0.000 0.000
2 Pd 0.000 0.500 0.116
3 Pd 0.000 0.500 0.372
4 Pd 0.500 0.500 0.000
5 Pd 0.500 0.500 0.245
6 Pd 0.500 0.500 0.500
7 Au 0.000 0.000 0.245
8 Au 0.000 0.000 0.500



(4)
Below is a geometry-optimized HfTlRe2I structure, with properties calculated at the PBE level.

Results
calculated volume	29.88	A^3/atom
E_form (uncorrected)	857	kJ/mol of formula units
uncorrected energy	-29.9	eV/cell

abc: 5.045 5.045 5.870
angles: 90.00 90.00 90.00
Space group P4/mmm (No. 123)
One atom of each set of equivalent atoms:
1 Hf 0.000 0.000 0.000
2 Tl 0.500 0.500 0.500
3 Re 0.000 0.500 0.000
4 I 0.000 0.000 0.500



(5)
Below is a geometry-optimized VSbS3 structure, with properties calculated at the PBE level.

Results
calculated volume	19.92	A^3/atom
E_form (uncorrected)	-43	kJ/mol of formula units
uncorrected energy	-26.1	eV/cell

abc: 4.635 4.635 4.635
angles: 90.00 90.00 90.00
Space group Pm-3m (No. 221)
One atom of each set of equivalent atoms:
1 V 0.000 0.000 0.000
2 Sb 0.500 0.500 0.500
3 S 0.000 0.000 0.500



(6)
Below is a geometry-optimized CsIn2Sn2 structure, with properties calculated at the PBE level.

Results
excess energy over the best structure of this formula in the dataset	12.5	kJ per mole of atoms
calculated volume	33.34	A^3/atom
energy of formation	-0.04	eV/atom
uncorrected energy	-29.1	eV/cell

abc: 9.687 9.687 3.553
angles: 90.00 90.00 90.00
Space group P4/mbm (No. 127)
One atom of each set of equivalent atoms:
1 Cs 0.000 0.000 0.000
2 In 0.153 0.347 0.500
3 Sn 0.123 0.623 0.000



(7)
Below is a geometry-optimized Dy2Pd2Pt15 structure, with properties calculated at the PBE level.

Results
calculated volume	17.43	A^3/atom
energy of formation	-0.43	eV/atom
uncorrected energy	-354.9	eV/cell

abc: 9.2622 9.2622 13.3754
angles: 90.00 90.00 120.00
Space group R-3m (No. 166, hexagonal axes)
One atom of each set of equivalent atoms:
1 Dy 0.0000 0.0000 0.1646
2 Pd 0.0000 0.0000 0.3942
3 Pt 0.0000 0.3148 0.5000
4 Pt 0.0000 0.5000 0.0000
5 Pt 0.0061 0.5030 0.6583



(8)
Below is a geometry-optimized La2CeY structure, with properties calculated at the PBE level.

Results
excess energy over the best structure of this formula in the dataset	0.0	kJ per mole of atoms
calculated volume	33.05	A^3/atom
energy of formation	0.05	eV/atom
uncorrected energy	-66.1	eV/cell

abc: 3.6126 3.6126 35.0859
angles: 90.00 90.00 120.00
Space group R-3m (No. 166, hexagonal axes)
One atom of each set of equivalent atoms:
1 La 0.0000 0.0000 0.2473
2 Ce 0.0000 0.0000 0.5000
3 Y 0.0000 0.0000 0.0000